The following is a DFT calculation (PBE) of MgSb after structural relaxation.

Calculated values
The crystal system is orthorhombic. The total energy comes out at -0.214 Ry per atom.

Geometry as POSCAR:
```
MgSb
1.0
5.499 0.000 0.000
0.000 1.609 8.721
0.000 -1.609 8.721
Mg Sb
3 3
direct
0.000 0.000 0.000
0.000 0.339 0.339
0.500 0.905 0.905
0.000 0.653 0.653
0.500 0.265 0.265
0.500 0.552 0.552
```